Entry from the Alexandria database: Tc2BiTe after structural relaxation (PBE-GGA).

a b c (Å): 4.7270 4.7270 4.7270
angles (deg): 60.00 60.00 60.00
Last column: nearest neighbours and their distance in Å.
Atoms (fractional coordinates):
Tc 0.2500 0.2500 0.2500  4 Bi 2.89, 4 Te 2.89
Tc 0.7500 0.7500 0.7500  4 Bi 2.89, 4 Te 2.89
Bi 0.0000 0.0000 0.0000  8 Tc 2.89
Te 0.5000 0.5000 0.5000  8 Tc 2.89

Space group: Fm-3m (225)
Calculated volume: 18.67 A^3/atom
Total moment: 0.000 μB per formula unit
Raw formation energy: 0.49 eV per atom
ΔE to the lowest computed polymorph: 0 meV per atom

---

Entry from the Alexandria database: TcBiTe2 after structural relaxation (PBE-GGA).

a b c (Å): 9.9182 9.9182 9.9182
angles (deg): 21.59 21.59 21.59
Last column: nearest neighbours and their distance in Å.
Atoms (fractional coordinates):
Tc 0.0000 0.0000 0.0000  6 Te 2.71
Bi 0.5000 0.5000 0.5000  2 Te 3.19
Te 0.3903 0.3903 0.3903  3 Tc 2.71
Te 0.6097 0.6097 0.6097  3 Tc 2.71

Space group: R-3m (166)
Calculated volume: 28.95 A^3/atom
Total moment: 1.600 μB per formula unit
Raw formation energy: 0.10 eV per atom

---

Entry from the Alexandria database: TcBiTe3 after structural relaxation (PBE-GGA).

a b c (Å): 5.2470 5.2470 5.2470
angles (deg): 90.00 90.00 90.00
Last column: nearest neighbours and their distance in Å.
Atoms (fractional coordinates):
Tc 0.0000 0.0000 0.0000  6 Te 2.62
Bi 0.5000 0.5000 0.5000  12 Te 3.71
Te 0.0000 0.0000 0.5000  2 Tc 2.62
Te 0.0000 0.5000 0.0000  2 Tc 2.62
Te 0.5000 0.0000 0.0000  2 Tc 2.62

Space group: Pm-3m (221)
Calculated volume: 28.89 A^3/atom
Total moment: 0.000 μB per formula unit
Raw formation energy: 0.42 eV per atom
ΔE to the lowest computed polymorph: 0 meV per atom

---

Entry from the Alexandria database: Tc2BiTe after structural relaxation (PBE-GGA).

a b c (Å): 7.2226 7.2226 7.2226
angles (deg): 129.06 129.06 74.92
Last column: nearest neighbours and their distance in Å.
Atoms (fractional coordinates):
Tc 0.1088 0.6250 0.9838  2 Te 2.56, 2 Bi 2.68
Tc 0.3750 0.3588 0.4838  2 Te 2.56, 2 Bi 2.68
Tc 0.6412 0.1250 0.0162  2 Te 2.56, 2 Bi 2.68
Tc 0.8750 0.8912 0.5162  2 Te 2.56, 2 Bi 2.68
Bi 0.2500 0.7500 0.5000  4 Tc 2.68
Bi 0.5000 0.5000 0.0000  4 Tc 2.68
Te 0.0000 0.0000 0.0000  4 Tc 2.56
Te 0.7500 0.2500 0.5000  4 Tc 2.56

Space group: I-42d (122)
Calculated volume: 27.66 A^3/atom
Total moment: 0.000 μB per formula unit
Raw formation energy: 0.97 eV per atom
ΔE to the lowest computed polymorph: 479 meV per atom